No. 1
The following is a DFT calculation (PBE) of a relaxed structure of TlCd2CoPb.

abc: 5.127 5.127 4.941
angles: 90.00 90.00 90.00
Sites, in units of the cell vectors:
Tl (0.500, 0.500, 0.500)
Cd (0.000, 0.500, 0.000)
Cd (0.500, 0.000, 0.000)
Pb (0.000, 0.000, 0.500)
Co (0.000, 0.000, 0.000)

Computed properties:
The energy is -14.08 eV per cell. The magnetization is 0.00 μB per atom. The symmetry is P4/mmm, No. 123. The value obtained for the formation energy is 0.186 eV/atom.

=====

No. 2
The following is a DFT calculation (PBE) of a relaxed structure of Y2CdCoPb.

abc: 5.091 5.091 4.984
angles: 90.00 90.00 90.00
Sites, in units of the cell vectors:
Co (0.000, 0.000, 0.000)
Cd (0.000, 0.000, 0.500)
Y (0.000, 0.500, 0.000)
Y (0.500, 0.000, 0.000)
Pb (0.500, 0.500, 0.500)

Computed properties:
The energy is -25.42 eV per cell. The magnetization is 0.00 μB per atom. The symmetry is P4/mmm, No. 123. The value obtained for the offset from the most stable computed form is 0.0 kJ per mole of atoms. The value obtained for the formation energy is -0.153 eV/atom.